1.
## Ir3SN (PBEsol)

Data for a relaxed Ir3SN crystal.

Geometry as POSCAR:
```
Ir3SN
1.0
4.326 0.000 0.000
0.000 4.326 0.000
0.000 0.000 4.326
Ir S N
3 1 1
Direct
0.000 0.000 0.500
0.000 0.500 0.000
0.500 0.000 0.000
0.000 0.000 0.000
0.500 0.500 0.500
```

Output
space-group type: No. 221
uncorrected formation energy: 10.50 eV per formula unit



2.
## BaFeSbI2 (PBEsol)

Data for a relaxed BaFeSbI2 crystal.

Geometry as POSCAR:
```
BaFeSbI2
1.0
5.493 0.000 0.000
0.000 5.493 0.000
0.000 0.000 5.103
Ba Fe Sb I
1 1 1 2
Direct
0.000 0.000 0.000
0.500 0.500 0.500
0.500 0.500 0.000
0.000 0.500 0.500
0.500 0.000 0.500
```

Output
space-group type: No. 123
uncorrected formation energy: -2.03 eV per formula unit



3.
## MgCrPd3 (PBEsol)

Data for a relaxed MgCrPd3 crystal.

Geometry as POSCAR:
```
MgCrPd3
1.0
4.507 0.000 0.000
0.000 4.507 0.000
0.000 0.000 4.507
Mg Cr Pd
1 1 3
Direct
0.000 0.000 0.000
0.500 0.500 0.500
0.000 0.000 0.500
0.000 0.500 0.000
0.500 0.000 0.000
```

Output
space-group type: No. 221
energy of formation from the pure elements: 0.79 eV/atom



4.
## LiBMo2H (PBEsol)

Data for a relaxed LiBMo2H crystal.

Geometry as POSCAR:
```
LiBMo2H
1.0
4.368 0.000 0.000
0.000 4.368 0.000
0.000 0.000 2.593
Li B Mo H
1 1 2 1
Direct
0.000 0.000 0.000
0.500 0.500 0.500
0.000 0.500 0.000
0.500 0.000 0.000
0.000 0.000 0.500
```

Output
space-group type: No. 123



5.
## YAl3Ga (PBEsol)

Data for a relaxed YAl3Ga crystal.

Geometry as POSCAR:
```
YAl3Ga
1.0
4.821 0.000 0.000
0.000 4.821 0.000
0.000 0.000 4.821
Y Al Ga
1 3 1
Direct
0.000 0.000 0.000
0.000 0.500 0.500
0.500 0.000 0.500
0.500 0.500 0.000
0.500 0.500 0.500
```

Output
space-group type: No. 221
energy of formation from the pure elements: 0.27 eV/atom



6.
## Li4Al3Cr3Sb2O16 (PBEsol)

Data for a relaxed Li4Al3Cr3Sb2O16 crystal.

Geometry as POSCAR:
```
Li4Al3Cr3Sb2O16
1.0
5.004 -2.883 0.000
5.004 2.883 0.000
-0.071 0.000 9.462
Li Al Cr Sb O
4 3 3 2 16
Direct
0.000 0.000 0.000
0.001 0.001 0.497
0.333 0.333 0.581
0.667 0.667 0.083
0.171 0.661 0.273
0.661 0.171 0.273
0.830 0.830 0.774
0.171 0.171 0.273
0.339 0.831 0.773
0.831 0.339 0.773
0.335 0.335 0.001
0.668 0.668 0.499
0.035 0.486 0.148
0.158 0.673 0.889
0.162 0.162 0.893
0.325 0.832 0.388
0.341 0.341 0.375
0.484 0.484 0.148
0.486 0.035 0.148
0.517 0.517 0.647
0.518 0.967 0.647
0.673 0.158 0.889
0.674 0.674 0.877
0.832 0.325 0.388
0.836 0.836 0.386
0.967 0.518 0.647
0.991 0.991 0.683
0.993 0.993 0.187
```

Output
space-group type: No. 8
uncorrected formation energy: -62.15 eV per formula unit



7.
## Ta2Rh (PBEsol)

Data for a relaxed Ta2Rh crystal.

Geometry as POSCAR:
```
Ta2Rh
1.0
4.541 0.000 0.000
-2.271 3.933 0.000
0.000 0.000 2.728
Ta Rh
2 1
Direct
0.333 0.667 0.000
0.667 0.333 0.000
0.000 0.000 0.500
```

Output
space-group type: No. 191
energy of formation from the pure elements: 0.23 eV/atom



8.
## HgI3Cl (PBEsol)

Data for a relaxed HgI3Cl crystal.

Geometry as POSCAR:
```
HgI3Cl
1.0
5.708 0.000 0.000
0.000 5.708 0.000
0.000 0.000 5.708
Hg I Cl
1 3 1
Direct
0.000 0.000 0.000
0.000 0.000 0.500
0.000 0.500 0.000
0.500 0.000 0.000
0.500 0.500 0.500
```

Output
space-group type: No. 221
uncorrected formation energy: 1.42 eV per formula unit



9.
## PAu2 (PBEsol)

Data for a relaxed PAu2 crystal.

Geometry as POSCAR:
```
PAu2
1.0
1.442 -9.584 0.000
1.442 9.584 0.000
0.000 0.000 3.908
P Au
2 4
Direct
0.102 0.898 0.750
0.898 0.102 0.250
0.290 0.710 0.250
0.440 0.560 0.750
0.560 0.440 0.250
0.710 0.290 0.750
```

Output
space-group type: No. 63
energy of formation from the pure elements: 0.23 eV/atom



10.
## La2Os (PBEsol)

Data for a relaxed La2Os crystal.

Geometry as POSCAR:
```
La2Os
1.0
7.504 0.000 0.000
-3.752 6.498 0.000
0.000 0.000 4.756
La Os
6 3
Direct
0.000 0.273 0.000
0.000 0.600 0.500
0.273 0.000 0.000
0.400 0.400 0.500
0.600 0.000 0.500
0.727 0.727 0.000
0.000 0.000 0.500
0.333 0.667 0.000
0.667 0.333 0.000
```

Output
space-group type: No. 189
energy of formation from the pure elements: -0.06 eV/atom



11.
## TiTc2B2 (PBEsol)

Data for a relaxed TiTc2B2 crystal.

Geometry as POSCAR:
```
TiTc2B2
1.0
5.962 0.000 0.000
0.000 5.962 0.000
0.000 0.000 2.977
Ti Tc B
2 4 4
Direct
0.000 0.000 0.000
0.500 0.500 0.000
0.174 0.326 0.500
0.326 0.826 0.500
0.674 0.174 0.500
0.826 0.674 0.500
0.112 0.612 0.000
0.388 0.112 0.000
0.612 0.888 0.000
0.888 0.388 0.000
```

Output
space-group type: No. 127
energy of formation from the pure elements: -0.58 eV/atom



12.
## YHg2OsCl (PBEsol)

Data for a relaxed YHg2OsCl crystal.

Geometry as POSCAR:
```
YHg2OsCl
1.0
5.695 0.000 0.000
0.000 5.695 0.000
0.000 0.000 4.924
Y Hg Os Cl
1 2 1 1
Direct
0.000 0.000 0.000
0.000 0.500 0.000
0.500 0.000 0.000
0.500 0.500 0.500
0.000 0.000 0.500
```

Output
space-group type: No. 123
uncorrected formation energy: 5.81 eV per formula unit



13.
## SN (PBEsol)

Data for a relaxed SN crystal.

Geometry as POSCAR:
```
SN
1.0
4.192 0.000 0.000
0.000 4.432 0.000
-2.663 0.000 7.116
S N
4 4
Direct
0.178 0.213 0.348
0.178 0.287 0.848
0.822 0.713 0.152
0.822 0.787 0.652
0.135 0.570 0.323
0.135 0.930 0.823
0.865 0.070 0.177
0.865 0.430 0.677
```

Output
space-group type: No. 14
uncorrected formation energy: 0.87 eV per formula unit



14.
## TeOsPt (PBEsol)

Data for a relaxed TeOsPt crystal.

Geometry as POSCAR:
```
TeOsPt
1.0
0.000 3.029 3.029
3.029 0.000 3.029
3.029 3.029 0.000
Te Os Pt
1 1 1
Direct
0.000 0.000 0.000
0.750 0.750 0.750
0.250 0.250 0.250
```

Output
space-group type: No. 216
energy above the most stable polymorph in this dataset: 0 meV/atom
uncorrected formation energy: 1.84 eV per formula unit



15.
## PbC (PBEsol)

Data for a relaxed PbC crystal.

Geometry as POSCAR:
```
PbC
1.0
2.762 0.000 0.000
0.000 3.445 0.000
0.000 0.000 7.701
Pb C
2 2
Direct
0.250 0.000 0.215
0.750 0.000 0.785
0.250 0.500 0.468
0.750 0.500 0.532
```

Output
space-group type: No. 51
energy above the most stable polymorph in this dataset: 44 meV/atom
energy of formation from the pure elements: 0.93 eV/atom



16.
## Te2MoO (PBEsol)

Data for a relaxed Te2MoO crystal.

Geometry as POSCAR:
```
Te2MoO
1.0
1.513 0.874 9.136
-1.513 0.874 9.136
0.000 -1.748 9.136
Te Mo O
2 1 1
Direct
0.100 0.100 0.100
0.900 0.900 0.900
0.000 0.000 0.000
0.500 0.500 0.500
```

Output
space-group type: No. 166
uncorrected formation energy: 2.65 eV per formula unit



17.
## Fe2Tc (PBEsol)

Data for a relaxed Fe2Tc crystal.

Geometry as POSCAR:
```
Fe2Tc
1.0
-1.430 1.430 4.356
1.430 -1.430 4.356
1.430 1.430 -4.356
Fe Tc
2 1
Direct
0.174 0.174 0.000
0.826 0.826 0.000
0.500 0.500 0.000
```

Output
space-group type: No. 139
energy above the most stable polymorph in this dataset: 103 meV/atom
energy of formation from the pure elements: 0.09 eV/atom



18.
## ScFeSi2 (PBEsol)

Data for a relaxed ScFeSi2 crystal.

Geometry as POSCAR:
```
ScFeSi2
1.0
-2.023 2.023 3.314
2.023 -2.023 3.314
2.023 2.023 -3.314
Sc Fe Si
1 1 2
Direct
0.000 0.000 0.000
0.500 0.500 0.000
0.250 0.750 0.500
0.750 0.250 0.500
```

Output
space-group type: No. 139
uncorrected formation energy: -1.12 eV per formula unit



19.
## MgHgSe4 (PBEsol)

Data for a relaxed MgHgSe4 crystal.

Geometry as POSCAR:
```
MgHgSe4
1.0
0.000 4.056 4.056
4.056 0.000 4.056
4.056 4.056 0.000
Mg Hg Se
1 1 4
Direct
0.000 0.000 0.000
0.750 0.750 0.750
0.375 0.375 0.375
0.375 0.375 0.875
0.375 0.875 0.375
0.875 0.375 0.375
```

Output
space-group type: No. 216
uncorrected formation energy: 1.19 eV per formula unit



20.
## BaAu2Cl (PBEsol)

Data for a relaxed BaAu2Cl crystal.

Geometry as POSCAR:
```
BaAu2Cl
1.0
0.000 3.715 3.715
3.715 0.000 3.715
3.715 3.715 0.000
Ba Au Cl
1 2 1
Direct
0.000 0.000 0.000
0.250 0.250 0.250
0.750 0.750 0.750
0.500 0.500 0.500
```

Output
space-group type: No. 225
energy above the most stable polymorph in this dataset: 344 meV/atom
uncorrected formation energy: -1.25 eV per formula unit



21.
## MgBe5 (PBEsol)

Data for a relaxed MgBe5 crystal.

Geometry as POSCAR:
```
MgBe5
1.0
3.584 0.000 0.000
0.000 1.255 6.913
0.000 -1.255 6.913
Mg Be
1 5
Direct
0.000 0.000 0.000
0.000 0.315 0.315
0.000 0.678 0.678
0.500 0.148 0.148
0.500 0.405 0.405
0.500 0.779 0.779
```

Output
space-group type: No. 38
energy above the most stable polymorph in this dataset: 202 meV/atom
energy of formation from the pure elements: 0.27 eV/atom



22.
## TiBeIr3 (PBEsol)

Data for a relaxed TiBeIr3 crystal.

Geometry as POSCAR:
```
TiBeIr3
1.0
4.078 0.000 0.000
0.000 4.078 0.000
0.000 0.000 4.078
Ti Be Ir
1 1 3
Direct
0.000 0.000 0.000
0.500 0.500 0.500
0.000 0.500 0.500
0.500 0.000 0.500
0.500 0.500 0.000
```

Output
space-group type: No. 221
energy of formation from the pure elements: -0.19 eV/atom



23.
## LuNi4Au (PBEsol)

Data for a relaxed LuNi4Au crystal.

Geometry as POSCAR:
```
LuNi4Au
1.0
0.000 3.399 3.399
3.399 0.000 3.399
3.399 3.399 0.000
Lu Ni Au
1 4 1
Direct
0.000 0.000 0.000
0.126 0.625 0.625
0.625 0.126 0.625
0.625 0.625 0.126
0.625 0.625 0.625
0.250 0.250 0.250
```

Output
space-group type: No. 216
energy of formation from the pure elements: -0.44 eV/atom



24.
## Zr2CuPt (PBEsol)

Data for a relaxed Zr2CuPt crystal.

Geometry as POSCAR:
```
Zr2CuPt
1.0
4.210 0.000 0.000
0.000 1.681 5.070
0.000 -1.681 5.070
Zr Cu Pt
2 1 1
Direct
0.000 0.000 0.000
0.500 0.288 0.288
0.500 0.561 0.561
0.000 0.723 0.723
```

Output
space-group type: No. 38
energy of formation from the pure elements: -0.61 eV/atom



25.
## SrSc2Hg (PBEsol)

Data for a relaxed SrSc2Hg crystal.

Geometry as POSCAR:
```
SrSc2Hg
1.0
0.000 3.657 3.657
3.657 0.000 3.657
3.657 3.657 0.000
Sr Sc Hg
1 2 1
Direct
0.000 0.000 0.000
0.250 0.250 0.250
0.750 0.750 0.750
0.500 0.500 0.500
```

Output
space-group type: No. 225
energy of formation from the pure elements: 0.07 eV/atom



26.
## ZrGe3Pt (PBEsol)

Data for a relaxed ZrGe3Pt crystal.

Geometry as POSCAR:
```
ZrGe3Pt
1.0
4.785 0.000 0.000
0.000 4.785 0.000
0.000 0.000 4.785
Zr Ge Pt
1 3 1
Direct
0.000 0.000 0.000
0.000 0.500 0.500
0.500 0.000 0.500
0.500 0.500 0.000
0.500 0.500 0.500
```

Output
space-group type: No. 221
energy of formation from the pure elements: 0.47 eV/atom



27.
## ScInSb3 (PBEsol)

Data for a relaxed ScInSb3 crystal.

Geometry as POSCAR:
```
ScInSb3
1.0
5.396 0.000 0.000
0.000 5.396 0.000
0.000 0.000 5.396
Sc In Sb
1 1 3
Direct
0.000 0.000 0.000
0.500 0.500 0.500
0.000 0.000 0.500
0.000 0.500 0.000
0.500 0.000 0.000
```

Output
space-group type: No. 221
uncorrected formation energy: 0.64 eV per formula unit



Ordered raw total energy results: -6.38; -4.25; -5.18; -5.99; -4.22; -7.36; -10.85; -1.29; -4.32; -7.69; -9.56; -3.27; -6.02; -6.95; -5.89; -5.36; -9.64; -7.05; -2.75; -3.31; -3.35; -8.55; -6.01; -7.98; -3.83; -5.70; -4.52; unit eV per atom.